SrNdNiO4 PBE+U relaxed; D(E_F) = 1.92 states/eV per cell; final energy = -44.87 eV/f.u.
1.0
2.698 -6.225 0.000
2.698 6.225 0.000
0.000 0.000 5.414
Sr Nd Ni O
2 2 2 8
Direct
0.106 0.894 0.750 Sr
0.894 0.106 0.250 Sr
0.385 0.615 0.750 Nd
0.615 0.385 0.250 Nd
0.250 0.750 0.250 Ni
0.750 0.250 0.750 Ni
0.000 0.500 0.000 O
0.000 0.500 0.500 O
0.089 0.911 0.250 O
0.425 0.575 0.250 O
0.500 0.000 0.000 O
0.500 0.000 0.500 O
0.575 0.425 0.750 O
0.911 0.089 0.750 O